{"formula": "TlHgBr", "functional": "PBE", "state": "relaxed", "lattice_angstrom": [[4.736, 0.000, 0.000], [0.000, 4.712, 0.000], [-0.065, 0.000, 9.315]], "species": ["Tl", "Tl", "Hg", "Hg", "Br", "Br"], "fractional_positions": [[0.246, 0.250, 0.314], [0.754, 0.750, 0.686], [0.251, 0.750, 0.000], [0.749, 0.250, 0.000], [0.253, 0.250, 0.652], [0.747, 0.750, 0.348]], "e_form_raw_ev_per_atom": -0.543, "space_group": "P2_1/m, No. 11", "n_ef_per_ev_atom": 0.059, "polymorph_energy_mev_per_atom": 0, "total_energy_ev_per_atom": -1.990}



{"formula": "Tl4HgBr7", "functional": "PBE", "state": "relaxed", "lattice_angstrom": [[7.514, -3.195, 0.000], [7.514, 3.195, 0.000], [-3.894, 0.000, 9.634]], "species": ["Tl", "Tl", "Tl", "Tl", "Hg", "Br", "Br", "Br", "Br", "Br", "Br", "Br"], "fractional_positions": [[0.083, 0.083, 0.272], [0.358, 0.358, 0.026], [0.642, 0.642, 0.974], [0.917, 0.917, 0.728], [0.500, 0.500, 0.500], [0.000, 0.000, 0.500], [0.126, 0.126, 0.970], [0.329, 0.329, 0.325], [0.419, 0.419, 0.751], [0.581, 0.581, 0.249], [0.671, 0.671, 0.675], [0.874, 0.874, 0.030]], "e_form_raw_ev_per_atom": -0.649, "space_group": "C2/m, No. 12", "n_ef_per_ev_atom": 0.495, "total_energy_ev_per_atom": -2.439}



no.,size of the total moment (μB per cell)
1,0.0
2,0.0